A relaxed Na3TbPm2O6 crystal, computed with PBE.

The structure in CIF format:
```
data_Na3TbPm2O6
_chemical_formula_sum 'Na6 Tb2 Pm4 O12'
_symmetry_space_group_name_H-M 'C 1 2/m 1'
_symmetry_Int_Tables_number 12
_cell_length_a 6.101
_cell_length_b 10.570
_cell_length_c 5.970
_cell_angle_alpha 90.00
_cell_angle_beta 109.88
_cell_angle_gamma 90.00
loop_
_symmetry_equiv_pos_as_xyz
'x,y,z'
'-x,-y,-z'
'-x,y,-z'
'x,-y,z'
'x+1/2,y+1/2,z'
'-x+1/2,-y+1/2,-z'
'-x+1/2,y+1/2,-z'
'x+1/2,-y+1/2,z'
loop_
_atom_site_label
_atom_site_fract_x
_atom_site_fract_y
_atom_site_fract_z
Na1 0.000 0.000 0.000
Na2 0.000 0.337 0.000
Tb1 0.000 0.500 0.500
Pm1 0.000 0.167 0.500
O1 0.235 0.337 0.714
O2 0.245 0.000 0.714
```

D(E_F) in states/eV per cell: 0.0
DFT total energy in eV/cell: -160.29